DFT (PBE-GGA) results for a relaxed structure of MgBeCr2.

Structure (POSCAR):
```
MgBeCr2
1.0
9.114 0.000 0.000
0.000 3.008 0.000
-1.477 0.000 3.634
Mg Be Cr
2 2 4
direct
0.000 0.000 0.000
0.500 0.500 0.000
0.000 0.500 0.500
0.500 0.000 0.500
0.235 0.000 0.704
0.265 0.500 0.296
0.735 0.500 0.704
0.765 0.000 0.296
```

Calculated values
Polymorph energy (0 for the lowest one): 170 meV per atom
ΔE_f: 37.5 kJ/mol of atoms
Space group: C2/m, No. 12
Crystal system: monoclinic